[1]
Computed, not measured: a relaxed structure of Rb2Pu3ThO12 at the GGA-PBE level of DFT.

Cell: 7.9082 7.9082 7.9082 Å, 60.85 60.85 60.85°
Last column: nearest neighbours and their distance in Å.
Atoms (fractional coordinates):
Pu 0.0000 0.0000 0.5000  6 O 2.01-2.10
Pu 0.5000 0.0000 0.0000  6 O 2.01-2.10
Pu 0.0000 0.5000 0.0000  6 O 2.01-2.10
O 0.6540 0.0773 0.0773  1 Pu 2.01
O 0.0773 0.6540 0.0773  1 Pu 2.01
O 0.0773 0.0773 0.6540  1 Pu 2.01
O 0.9372 0.3044 0.3044  2 Pu 2.10
O 0.0628 0.6956 0.6956  2 Pu 2.10
O 0.6956 0.6956 0.0628  2 Pu 2.10
O 0.3044 0.3044 0.9372  2 Pu 2.10
O 0.3460 0.9227 0.9227  1 Pu 2.01
O 0.9227 0.3460 0.9227  1 Pu 2.01
O 0.6956 0.0628 0.6956  2 Pu 2.10
O 0.3044 0.9372 0.3044  2 Pu 2.10
O 0.9227 0.9227 0.3460  1 Pu 2.01
Rb 0.6486 0.6486 0.6486  3 O 3.10
Rb 0.3514 0.3514 0.3514  3 O 3.10
Th 0.0000 0.0000 0.0000  6 O 2.31

## Properties
The magnetic moment is 6.00 μB per formula unit. Its uncorrected formation energy is -2636 meV/atom. As for the space-group type: R-3m.


[2]
Computed, not measured: a relaxed structure of Rb4Pu3ThO12 at the GGA-PBE level of DFT.

Cell: 7.5647 7.5647 7.5647 Å, 109.47 109.47 109.47°
Last column: nearest neighbours and their distance in Å.
Atoms (fractional coordinates):
O 0.5000 0.7500 0.2500  2 Pu 2.18
O 0.2635 0.0000 0.2635  1 Pu 2.07, 1 Th 2.30
O 0.2635 0.2635 0.0000  1 Pu 2.07, 1 Th 2.30
O 0.7500 0.2500 0.5000  2 Pu 2.18
O 0.0000 0.2635 0.2635  1 Pu 2.07, 1 Th 2.30
O 0.7500 0.5000 0.2500  2 Pu 2.18
O 0.0000 0.7365 0.7365  1 Pu 2.07, 1 Th 2.30
O 0.7365 0.0000 0.7365  1 Pu 2.07, 1 Th 2.30
O 0.5000 0.2500 0.7500  2 Pu 2.18
O 0.2500 0.7500 0.5000  2 Pu 2.18
O 0.7365 0.7365 0.0000  1 Pu 2.07, 1 Th 2.30
O 0.2500 0.5000 0.7500  2 Pu 2.18
Pu 0.5000 0.0000 0.5000  6 O 2.07-2.18
Pu 0.5000 0.5000 0.0000  6 O 2.07-2.18
Pu 0.0000 0.5000 0.5000  6 O 2.07-2.18
Rb 0.0000 0.0000 0.5000  12 O 3.09
Rb 0.5000 0.5000 0.5000  12 O 3.09
Rb 0.0000 0.5000 0.0000  12 O 3.09
Rb 0.5000 0.0000 0.0000  12 O 3.09
Th 0.0000 0.0000 0.0000  6 O 2.30

## Properties
The magnetic moment is 8.00 μB per formula unit. Its uncorrected formation energy is -2616 meV/atom. As for the space-group type: Im-3m.